This record from OQMD via LeMat-Bulk describes a geometry-optimized NbCoO3 structure. The functional is PBE with a Hubbard U.

Calculated volume = 49 Å³/cell
Final energy = -6.76 eV per atom

Lattice parameters (Å, degrees): 3.6520 3.6520 3.6520 90.00 90.00 90.00
Last column: nearest neighbours and their distance in Å.
Atoms (fractional coordinates):
Co  0.5000  0.5000  0.5000  6 O 1.83
O  0.0000  0.5000  0.5000  2 Co 1.83
O  0.5000  0.0000  0.5000  2 Co 1.83
O  0.5000  0.5000  0.0000  2 Co 1.83
Nb  0.0000  0.0000  0.0000  12 O 2.58